No. 1
Compound: TcOsRh4
Source: the Alexandria database
Functional: PBE
Structure: relaxed

Unit cell a=7.089 b=7.089 c=7.089 alpha=90.00 beta=90.00 gamma=90.00
Space group F-43m (No. 216)
Unique sites:
Tc: 0.000 0.000 0.000 [4 per cell]
Os: 0.250 0.250 0.750 [4 per cell]
Rh: 0.125 0.125 0.375 [16 per cell]

**Distance to the lowest polymorph of the same formula**: 3.36 eV per formula unit
**Total magnetic moment**: 0.0000 μB/atom
**Formation energy**: 0.51 eV/atom
**Total energy**: -7.992 eV/atom



No. 2
Compound: TcOs2Rh
Source: the Alexandria database
Functional: PBE
Structure: relaxed

Unit cell a=5.600 b=5.600 c=10.898 alpha=90.00 beta=90.00 gamma=90.00
Space group I-42d (No. 122)
Unique sites:
Tc: 0.000 0.000 0.000 [4 per cell]
Os: 0.249 0.250 0.125 [8 per cell]
Rh: 0.000 0.000 0.500 [4 per cell]

**Distance to the lowest polymorph of the same formula**: 4.95 eV per formula unit
**Total magnetic moment**: 0.0000 μB/atom
**Formation energy**: 1.28 eV/atom
**Total energy**: -8.769 eV/atom



No. 3
Compound: Tc2OsRh
Source: the Alexandria database
Functional: PBE
Structure: relaxed

Unit cell a=5.452 b=7.740 c=2.724 alpha=90.00 beta=90.00 gamma=90.00
Space group Cmmm (No. 65)
Unique sites:
Tc: 0.250 0.250 0.000 [4 per cell]
Os: 0.000 0.000 0.500 [2 per cell]
Rh: 0.000 0.500 0.500 [2 per cell]

**Distance to the lowest polymorph of the same formula**: 0.47 eV per formula unit
**Total magnetic moment**: 0.0001 μB/atom
**Formation energy**: -0.01 eV/atom
**Total energy**: -9.841 eV/atom



No. 4
Compound: Tc2OsRh
Source: the Alexandria database
Functional: PBE
Structure: relaxed

Unit cell a=9.090 b=2.727 c=4.720 alpha=90.00 beta=100.05 gamma=90.00
Space group C2/m (No. 12)
Unique sites:
Tc: 0.247 0.000 0.243 [4 per cell]
Os: 0.000 0.500 0.000 [2 per cell]
Rh: 0.000 0.000 0.500 [2 per cell]

**Distance to the lowest polymorph of the same formula**: 0.59 eV per formula unit
**Total magnetic moment**: 0.0000 μB/atom
**Formation energy**: 0.02 eV/atom
**Total energy**: -9.810 eV/atom



No. 5
Compound: Tc2OsRh
Source: the Alexandria database
Functional: PBE
Structure: relaxed

Unit cell a=5.726 b=5.726 c=10.353 alpha=90.00 beta=90.00 gamma=90.00
Space group I-42d (No. 122)
Unique sites:
Tc: 0.249 0.250 0.125 [8 per cell]
Os: 0.000 0.000 0.000 [4 per cell]
Rh: 0.000 0.000 0.500 [4 per cell]

**Distance to the lowest polymorph of the same formula**: 5.33 eV per formula unit
**Total magnetic moment**: 0.0000 μB/atom
**Formation energy**: 1.20 eV/atom
**Total energy**: -8.624 eV/atom



No. 6
Compound: Tc2OsRh
Source: the Alexandria database
Functional: PBE
Structure: relaxed

Unit cell a=4.749 b=2.742 c=8.982 alpha=90.00 beta=100.17 gamma=90.00
Space group Cm (No. 8)
Unique sites:
Tc: 0.000 0.000 0.000 [2 per cell]
Tc: 0.165 0.000 0.492 [2 per cell]
Os: 0.247 0.500 0.243 [2 per cell]
Rh: 0.082 0.500 0.751 [2 per cell]

**Distance to the lowest polymorph of the same formula**: 0.30 eV per formula unit
**Total magnetic moment**: 0.0000 μB/atom
**Formation energy**: -0.05 eV/atom
**Total energy**: -9.883 eV/atom